one | LaPm2Si | PBE-GGA | optimized geometry

Lattice parameters (Å, degrees): 4.108 4.827 12.380 90.00 99.55 90.00
Atoms (fractional coordinates):
Pm (0.236, 0.750, 0.473)
Pm (0.957, 0.750, 0.913)
Pm (0.764, 0.250, 0.527)
Pm (0.043, 0.250, 0.087)
La (0.619, 0.750, 0.238)
La (0.381, 0.250, 0.762)
Si (0.163, 0.250, 0.327)
Si (0.837, 0.750, 0.673)

Values from the calculation:
Magnetization, μB per cell: 0.4
Calculated volume, Å³ per cell: 242

=====

two | LaPm2Si | PBE-GGA | optimized geometry

Lattice parameters (Å, degrees): 4.072 4.072 9.616 77.78 77.78 60.00
Atoms (fractional coordinates):
La (0.502, 0.502, 0.493)
Pm (0.059, 0.059, 0.822)
Pm (0.273, 0.273, 0.181)
Si (0.665, 0.665, 0.004)

Values from the calculation:
Magnetization, μB per cell: 0.0
Calculated volume, Å³ per cell: 134

=====

three | LaPm2Si | PBE-GGA | optimized geometry

Lattice parameters (Å, degrees): 6.472 7.963 9.354 90.00 90.00 90.00
Atoms (fractional coordinates):
Pm (0.873, 0.312, 0.553)
Pm (0.627, 0.812, 0.947)
Pm (0.127, 0.688, 0.053)
Pm (0.127, 0.688, 0.447)
Pm (0.627, 0.812, 0.553)
Pm (0.373, 0.188, 0.447)
Pm (0.373, 0.188, 0.053)
Pm (0.873, 0.312, 0.947)
Si (0.918, 0.616, 0.750)
Si (0.082, 0.384, 0.250)
Si (0.418, 0.884, 0.250)
Si (0.582, 0.116, 0.750)
La (0.129, 0.969, 0.750)
La (0.871, 0.031, 0.250)
La (0.629, 0.531, 0.250)
La (0.371, 0.469, 0.750)

Values from the calculation:
Magnetization, μB per cell: 0.0
Calculated volume, Å³ per cell: 482

=====

four | LaPm2Si | PBE-GGA | optimized geometry

Lattice parameters (Å, degrees): 3.902 3.902 7.468 90.00 90.00 90.00
Atoms (fractional coordinates):
Si (0.500, 0.500, 0.000)
Pm (0.000, 0.000, 0.803)
Pm (0.000, 0.000, 0.197)
La (0.500, 0.500, 0.500)

Values from the calculation:
Magnetization, μB per cell: 0.0
Calculated volume, Å³ per cell: 114

=====

The data favor three; the next most stable structure lies 121 meV/atom above it.

=====

one | LaPm2Si | PBE-GGA | optimized geometry

Lattice parameters (Å, degrees): 3.725 3.725 11.245 80.47 80.47 60.00
Atoms (fractional coordinates):
Pm (0.891, 0.891, 0.326)
Pm (0.109, 0.109, 0.674)
La (0.000, 0.000, 0.000)
Si (0.500, 0.500, 0.500)

Values from the calculation:
Magnetization, μB per cell: 0.0
Calculated volume, Å³ per cell: 133

=====

two | LaPm2Si | PBE-GGA | optimized geometry

Lattice parameters (Å, degrees): 4.699 4.824 4.824 90.00 90.00 90.00
Atoms (fractional coordinates):
Pm (0.000, 0.000, 0.500)
Pm (0.000, 0.500, 0.000)
La (0.500, 0.000, 0.000)
Si (0.500, 0.500, 0.500)

Values from the calculation:
Magnetization, μB per cell: 0.0
Calculated volume, Å³ per cell: 109

=====

The data favor two; the next most stable structure lies 240 meV/atom above it.

=====

one | La3PmSi2 | PBE-GGA | optimized geometry

Lattice parameters (Å, degrees): 4.536 4.645 8.960 105.03 104.69 90.01
Atoms (fractional coordinates):
La (0.183, 0.683, 0.366)
La (0.500, 0.500, 0.000)
La (0.817, 0.317, 0.634)
Si (0.632, 0.132, 0.264)
Si (0.368, 0.868, 0.736)
Pm (0.000, 0.000, 0.000)

Values from the calculation:
Magnetization, μB per cell: 0.1
Calculated volume, Å³ per cell: 176

=====

two | La3PmSi2 | PBE-GGA | optimized geometry

Lattice parameters (Å, degrees): 8.272 8.272 8.272 57.58 57.58 57.58
Atoms (fractional coordinates):
Pm (0.000, 0.000, 0.000)
Pm (0.500, 0.500, 0.500)
Si (0.645, 0.645, 0.645)
Si (0.855, 0.855, 0.855)
Si (0.145, 0.145, 0.145)
Si (0.355, 0.355, 0.355)
La (0.750, 0.471, 0.029)
La (0.471, 0.029, 0.750)
La (0.971, 0.250, 0.529)
La (0.529, 0.971, 0.250)
La (0.029, 0.750, 0.471)
La (0.250, 0.529, 0.971)

Values from the calculation:
Magnetization, μB per cell: 0.0
Calculated volume, Å³ per cell: 378

=====

The data favor one; the next most stable structure lies 255 meV/atom above it.

=====

one | LaPmSi | PBE-GGA | optimized geometry

Lattice parameters (Å, degrees): 4.342 6.272 7.157 78.43 107.65 110.16
Atoms (fractional coordinates):
La (0.846, 0.966, 0.687)
La (0.014, 0.585, 0.406)
Pm (0.253, 0.495, 0.974)
Pm (0.608, 0.056, 0.119)
Si (0.549, 0.358, 0.703)
Si (0.311, 0.192, 0.390)

Values from the calculation:
Magnetization, μB per cell: 0.2
Calculated volume, Å³ per cell: 173

=====

two | LaPmSi | PBE-GGA | optimized geometry

Lattice parameters (Å, degrees): 4.330 4.761 4.761 120.00 90.00 90.00
Atoms (fractional coordinates):
Pm (0.253, 0.333, 0.667)
La (0.700, 0.667, 0.333)
Si (0.047, 0.000, 0.000)

Values from the calculation:
Magnetization, μB per cell: 0.0
Calculated volume, Å³ per cell: 85

=====

three | LaPmSi | PBE-GGA | optimized geometry

Lattice parameters (Å, degrees): 4.388 8.123 8.123 120.00 90.00 90.00
Each line ends with the local moment (μB).
Atoms (fractional coordinates):
La (0.500, 0.411, 0.411)  0.09
La (0.500, 0.589, 0.000)  0.09
La (0.500, 0.000, 0.589)  0.09
Pm (0.000, 0.000, 0.262)  0.10
Pm (0.000, 0.262, 0.000)  0.10
Pm (0.000, 0.738, 0.738)  0.10
Si (0.000, 0.667, 0.333)  -0.01
Si (0.000, 0.333, 0.667)  -0.01
Si (0.500, 0.000, 0.000)  -0.01

Values from the calculation:
Magnetization, μB per cell: 1.1
Calculated volume, Å³ per cell: 251

=====

The data favor three; the next most stable structure lies 37 meV/atom above it.

=====

one | LaPmSi | PBE-GGA | optimized geometry

Lattice parameters (Å, degrees): 6.688 5.288 5.288 119.97 90.00 90.00
Each line ends with the local moment (μB).
Atoms (fractional coordinates):
Pm (0.000, 0.000, 0.000)  0.22
Pm (0.500, 0.000, 0.000)  0.22
Si (0.250, 0.333, 0.667)  -0.01
Si (0.750, 0.667, 0.333)  -0.01
La (0.750, 0.333, 0.667)  0.13
La (0.250, 0.667, 0.333)  0.13

Values from the calculation:
Magnetization, μB per cell: 1.3
Calculated volume, Å³ per cell: 162

=====

two | LaPmSi | PBE-GGA | optimized geometry

Lattice parameters (Å, degrees): 5.058 5.058 5.058 60.00 60.00 60.00
Atoms (fractional coordinates):
Pm (0.000, 0.000, 0.000)
La (0.500, 0.500, 0.500)
Si (0.250, 0.250, 0.250)

Values from the calculation:
Magnetization, μB per cell: 0.0
Calculated volume, Å³ per cell: 91

=====

The data favor two; the next most stable structure lies 63 meV/atom above it.

=====

one | La2PmSi2 | PBE-GGA | optimized geometry

Lattice parameters (Å, degrees): 4.481 7.817 7.817 90.00 90.00 90.00
Atoms (fractional coordinates):
Pm (0.000, 0.000, 0.000)
Pm (0.000, 0.500, 0.500)
La (0.500, 0.677, 0.823)
La (0.500, 0.823, 0.323)
La (0.500, 0.323, 0.177)
La (0.500, 0.177, 0.677)
Si (0.000, 0.611, 0.111)
Si (0.000, 0.889, 0.611)
Si (0.000, 0.389, 0.889)
Si (0.000, 0.111, 0.389)

Values from the calculation:
Magnetization, μB per cell: 0.0
Calculated volume, Å³ per cell: 274

=====

two | La2PmSi2 | PBE-GGA | optimized geometry

Lattice parameters (Å, degrees): 4.481 6.139 6.139 63.96 68.60 68.60
Atoms (fractional coordinates):
Si (0.500, 0.310, 0.690)
Si (0.500, 0.690, 0.310)
La (0.795, 0.705, 0.705)
La (0.205, 0.295, 0.295)
Pm (0.000, 0.000, 0.000)

Values from the calculation:
Magnetization, μB per cell: 0.0
Calculated volume, Å³ per cell: 137

=====

The data favor one; the next most stable structure lies 33 meV/atom above it.

=====

one | La2Pm3Sm2 | PBE-GGA | optimized geometry

Lattice parameters (Å, degrees): 3.684 11.036 6.332 95.45 73.20 89.97
Atoms (fractional coordinates):
Pm (0.000, 0.000, 0.000)
Pm (0.143, 0.430, 0.715)
Pm (0.857, 0.570, 0.285)
Sm (0.571, 0.712, 0.859)
Sm (0.429, 0.288, 0.141)
La (0.284, 0.856, 0.429)
La (0.716, 0.144, 0.571)

Values from the calculation:
Magnetization, μB per cell: 0.0
Calculated volume, Å³ per cell: 245

=====

two | La2Pm3Sm2 | PBE-GGA | optimized geometry

Lattice parameters (Å, degrees): 3.550 8.979 8.779 115.79 101.67 90.00
Atoms (fractional coordinates):
Pm (0.778, 0.352, 0.557)
Pm (0.000, 0.500, 0.000)
Pm (0.222, 0.648, 0.443)
Sm (0.360, 0.094, 0.720)
Sm (0.640, 0.906, 0.280)
La (0.922, 0.797, 0.844)
La (0.078, 0.203, 0.156)

Values from the calculation:
Magnetization, μB per cell: 0.0
Calculated volume, Å³ per cell: 246

=====

The data favor one; the next most stable structure lies 97 meV/atom above it.

=====

one | La3PmSm3 | PBE-GGA | optimized geometry

Lattice parameters (Å, degrees): 8.431 8.431 8.431 69.45 69.45 69.45
Atoms (fractional coordinates):
Sm (0.024, 0.309, 0.446)
Sm (0.691, 0.554, 0.976)
Sm (0.446, 0.024, 0.309)
Sm (0.554, 0.976, 0.691)
Sm (0.309, 0.446, 0.024)
Sm (0.976, 0.691, 0.554)
La (0.836, 0.127, 0.269)
La (0.164, 0.873, 0.731)
La (0.269, 0.836, 0.127)
La (0.127, 0.269, 0.836)
La (0.731, 0.164, 0.873)
La (0.873, 0.731, 0.164)
Pm (0.409, 0.409, 0.409)
Pm (0.591, 0.591, 0.591)

Values from the calculation:
Magnetization, μB per cell: 0.0
Calculated volume, Å³ per cell: 507

=====

two | La3PmSm3 | PBE-GGA | optimized geometry

Lattice parameters (Å, degrees): 7.286 6.713 6.713 107.68 111.21 111.21
Atoms (fractional coordinates):
Sm (0.609, 0.639, 0.639)
Sm (0.970, 0.000, 0.361)
Sm (0.970, 0.361, 0.000)
La (0.021, 0.565, 0.565)
La (0.456, 0.000, 0.435)
La (0.456, 0.435, 0.000)
Pm (0.492, 0.000, 0.000)

Values from the calculation:
Magnetization, μB per cell: 0.0
Calculated volume, Å³ per cell: 247

=====

The data favor one; the next most stable structure lies 83 meV/atom above it.

=====

one | LaPm2Sm4 | PBE-GGA | optimized geometry

Lattice parameters (Å, degrees): 5.901 9.312 9.312 90.00 90.00 90.00
Atoms (fractional coordinates):
Pm (0.000, 0.813, 0.187)
Pm (0.500, 0.687, 0.687)
Pm (0.000, 0.187, 0.813)
Pm (0.500, 0.313, 0.313)
Sm (0.500, 0.104, 0.635)
Sm (0.000, 0.865, 0.604)
Sm (0.500, 0.365, 0.896)
Sm (0.500, 0.896, 0.365)
Sm (0.500, 0.635, 0.104)
Sm (0.000, 0.135, 0.396)
Sm (0.000, 0.604, 0.865)
Sm (0.000, 0.396, 0.135)
La (0.000, 0.500, 0.500)
La (0.500, 0.000, 0.000)

Values from the calculation:
Magnetization, μB per cell: 0.0
Calculated volume, Å³ per cell: 512

=====

two | LaPm2Sm4 | PBE-GGA | optimized geometry

Lattice parameters (Å, degrees): 4.636 4.636 12.017 101.12 101.12 90.00
Atoms (fractional coordinates):
Sm (0.250, 0.750, 0.500)
Sm (0.750, 0.250, 0.500)
Sm (0.139, 0.139, 0.278)
Sm (0.861, 0.861, 0.722)
Pm (0.600, 0.600, 0.201)
Pm (0.400, 0.400, 0.799)
La (0.000, 0.000, 0.000)

Values from the calculation:
Magnetization, μB per cell: 0.0
Calculated volume, Å³ per cell: 248

=====

The data favor one; the next most stable structure lies 17 meV/atom above it.

=====

one | La12Pm2Sm5 | PBE-GGA | optimized geometry

Lattice parameters (Å, degrees): 7.656 11.123 10.176 59.25 90.00 110.13
Atoms (fractional coordinates):
Pm (0.301, 0.000, 0.000)
Pm (0.699, 0.000, 0.000)
La (0.934, 0.331, 0.165)
La (0.486, 0.972, 0.671)
La (0.090, 0.682, 0.472)
La (0.006, 0.011, 0.200)
La (0.603, 0.669, 0.835)
La (0.910, 0.318, 0.528)
La (0.066, 0.669, 0.835)
La (0.408, 0.318, 0.528)
La (0.994, 0.989, 0.800)
La (0.397, 0.331, 0.165)
La (0.592, 0.682, 0.472)
La (0.514, 0.028, 0.329)
Sm (0.679, 0.359, 0.837)
Sm (0.824, 0.648, 0.184)
Sm (0.176, 0.352, 0.816)
Sm (0.321, 0.641, 0.163)
Sm (0.000, 0.000, 0.500)

Values from the calculation:
Magnetization, μB per cell: 0.0
Calculated volume, Å³ per cell: 682

=====

two | La12Pm2Sm5 | PBE-GGA | optimized geometry

Lattice parameters (Å, degrees): 11.913 8.953 9.615 70.48 90.00 131.71
Atoms (fractional coordinates):
La (0.467, 0.421, 0.189)
La (0.046, 0.579, 0.811)
La (0.104, 0.209, 0.071)
La (0.632, 0.791, 0.407)
La (0.896, 0.791, 0.929)
La (0.368, 0.209, 0.593)
La (0.433, 0.866, 0.774)
La (0.954, 0.421, 0.189)
La (0.533, 0.579, 0.811)
La (0.159, 0.791, 0.407)
La (0.841, 0.209, 0.593)
La (0.567, 0.134, 0.226)
Sm (0.788, 0.576, 0.356)
Sm (0.000, 0.000, 0.500)
Sm (0.307, 0.615, 0.230)
Sm (0.212, 0.424, 0.644)
Sm (0.693, 0.385, 0.770)
Pm (0.283, 0.000, 0.000)
Pm (0.717, 0.000, 0.000)

Values from the calculation:
Magnetization, μB per cell: 0.0
Calculated volume, Å³ per cell: 685

=====

The data favor two; the next most stable structure lies 55 meV/atom above it.